This record from Alexandria via LeMat-Bulk describes a relaxed CrP4O12 crystal. The functional is PBE+U.

Cell lengths 8.446, 9.174, 12.782 Å; angles 90.00, 90.00, 90.00 degrees
Each line ends with the local moment (μB).
Atoms (fractional coordinates):
P (0.963, 0.017, 0.351)  0.00
P (0.963, 0.483, 0.649)  0.00
P (0.037, 0.983, 0.649)  0.00
P (0.537, 0.517, 0.149)  0.00
P (0.314, 0.490, 0.646)  0.01
P (0.686, 0.510, 0.354)  0.01
P (0.814, 0.490, 0.854)  0.01
P (0.814, 0.010, 0.146)  0.01
P (0.037, 0.517, 0.351)  0.00
P (0.463, 0.017, 0.149)  0.00
P (0.537, 0.983, 0.851)  0.00
P (0.463, 0.483, 0.851)  0.00
P (0.686, 0.990, 0.646)  0.01
P (0.186, 0.990, 0.854)  0.01
P (0.314, 0.010, 0.354)  0.01
P (0.186, 0.510, 0.146)  0.01
O (0.097, 0.380, 0.115)  -0.07
O (0.903, 0.880, 0.115)  -0.07
O (0.799, 0.362, 0.931)  -0.06
O (0.865, 0.470, 0.314)  0.00
O (0.701, 0.638, 0.431)  -0.06
O (0.365, 0.470, 0.186)  0.00
O (0.972, 0.133, 0.435)  -0.02
O (0.130, 0.119, 0.620)  -0.04
O (0.381, 0.413, 0.752)  -0.01
O (0.881, 0.087, 0.252)  -0.01
O (0.472, 0.133, 0.065)  -0.02
O (0.635, 0.970, 0.186)  0.00
O (0.903, 0.620, 0.885)  -0.07
O (0.365, 0.030, 0.814)  0.00
O (0.403, 0.880, 0.385)  -0.07
O (0.635, 0.530, 0.814)  0.00
O (0.135, 0.970, 0.314)  0.00
O (0.130, 0.381, 0.380)  -0.04
O (0.630, 0.381, 0.120)  -0.04
O (0.028, 0.867, 0.565)  -0.02
O (0.972, 0.367, 0.565)  -0.02
O (0.299, 0.138, 0.431)  -0.06
O (0.619, 0.913, 0.752)  -0.01
O (0.528, 0.633, 0.065)  -0.02
O (0.870, 0.619, 0.620)  -0.04
O (0.119, 0.587, 0.252)  -0.01
O (0.701, 0.862, 0.569)  -0.06
O (0.201, 0.862, 0.931)  -0.06
O (0.870, 0.881, 0.380)  -0.04
O (0.472, 0.367, 0.935)  -0.02
O (0.597, 0.120, 0.615)  -0.07
O (0.799, 0.138, 0.069)  -0.06
O (0.381, 0.087, 0.248)  -0.01
O (0.028, 0.633, 0.435)  -0.02
O (0.119, 0.913, 0.748)  -0.01
O (0.597, 0.380, 0.385)  -0.07
O (0.403, 0.620, 0.615)  -0.07
O (0.201, 0.638, 0.069)  -0.06
O (0.865, 0.030, 0.686)  0.00
O (0.881, 0.413, 0.748)  -0.01
O (0.370, 0.881, 0.120)  -0.04
O (0.299, 0.362, 0.569)  -0.06
O (0.528, 0.867, 0.935)  -0.02
O (0.630, 0.119, 0.880)  -0.04
O (0.370, 0.619, 0.880)  -0.04
O (0.097, 0.120, 0.885)  -0.07
O (0.619, 0.587, 0.248)  -0.01
O (0.135, 0.530, 0.686)  0.00
Cr (0.859, 0.750, 0.500)  2.35
Cr (0.141, 0.250, 0.500)  2.35
Cr (0.641, 0.250, 0.000)  2.35
Cr (0.359, 0.750, 0.000)  2.35

Computed properties:
* D(E_F): 1.92 states/eV/f.u.
* uncorrected energy: -7.1717 eV per atom
* relative energy among the computed polymorphs: 3 meV/atom